DFT (PBE) results for a geometry-optimized BaSrNd2Sb2O structure.

Properties
For the total energy, the calculation gives -5.2897 eV/atom. Its calculated density is 5.96 g/cm3. Its space-group type is I4mm, No. 107.

Cell lengths 9.8221, 9.8221, 9.8221 Å; angles 151.49, 151.49, 40.76 degrees
Last column: nearest neighbours and their distance in Å.
Atoms (fractional coordinates):
Ba 0.6817 0.6817 0.0000  5 Sb 3.48-3.57, 1 O 3.64
Nd 0.9998 0.4998 0.5000  2 O 2.44
Nd 0.4998 0.9998 0.5000  2 O 2.44
O 0.4839 0.4839 0.0000  4 Nd 2.44, 1 Sr 2.71
Sb 0.1270 0.1270 0.0000  4 Nd 3.37, 4 Ba 3.57
Sb 0.8709 0.8709 0.0000  4 Nd 3.39, 4 Sr 3.48, 1 Ba 3.48
Sr 0.3369 0.3369 0.0000  1 O 2.71

---

DFT (PBE) results for a geometry-optimized TbTmMg2Sn2 structure.

Properties
For the total energy, the calculation gives -3.9242 eV/atom. Its calculated density is 6.70 g/cm3. Its space-group type is I4mm, No. 107.

Cell lengths 8.5082, 8.5082, 8.5082 Å; angles 150.17, 150.17, 42.70 degrees
Last column: nearest neighbours and their distance in Å.
Atoms (fractional coordinates):
Mg 0.9996 0.4996 0.5000  4 Sn 3.07-3.08, 4 Mg 3.10, 2 Tm 3.43
Mg 0.4996 0.9996 0.5000  4 Sn 3.07-3.08, 4 Mg 3.10, 2 Tm 3.43
Sn 0.1363 0.1363 0.0000  4 Mg 3.08, 1 Tm 3.12, 4 Tb 3.14
Sn 0.8641 0.8641 0.0000  4 Mg 3.07, 1 Tb 3.12, 4 Tm 3.14
Tb 0.6672 0.6672 0.0000  5 Sn 3.12-3.14, 4 Mg 3.44
Tm 0.3333 0.3333 0.0000  5 Sn 3.12-3.14, 4 Mg 3.43

---

DFT (PBE) results for a geometry-optimized NdReNO structure.

Properties
For the total energy, the calculation gives -8.7074 eV/atom. Its calculated density is 9.87 g/cm3. Its space-group type is Pca2_1, No. 29.

Cell lengths 7.0338, 6.8607, 5.0290 Å; angles 90.00, 90.00, 90.00 degrees
Last column: nearest neighbours and their distance in Å.
Atoms (fractional coordinates):
N 0.0259 0.3428 0.4880  1 Re 1.86
N 0.5259 0.6572 0.4880  1 Re 1.86
N 0.4741 0.3428 0.9880  1 Re 1.86
N 0.9741 0.6572 0.9880  1 Re 1.86
Nd 0.4074 0.3194 0.4876  4 N 2.46-2.69, 2 O 2.55-2.56
Nd 0.9074 0.6806 0.4876  4 N 2.46-2.69, 2 O 2.55-2.56
Nd 0.0926 0.3194 0.9876  4 N 2.46-2.69, 2 O 2.55-2.56
Nd 0.5926 0.6806 0.9876  4 N 2.46-2.69, 2 O 2.55-2.56
O 0.2471 0.0388 0.2391  2 Re 2.00
O 0.7471 0.9612 0.2391  2 Re 2.00
O 0.2529 0.0388 0.7391  2 Re 2.00
O 0.7529 0.9612 0.7391  2 Re 2.00
Re 0.8159 0.1775 0.4876  1 N 1.86, 2 O 2.00
Re 0.3159 0.8225 0.4876  1 N 1.86, 2 O 2.00
Re 0.6841 0.1775 0.9876  1 N 1.86, 2 O 2.00
Re 0.1841 0.8225 0.9876  1 N 1.86, 2 O 2.00

---

DFT (PBE) results for a geometry-optimized PmAsNO structure.

Properties
For the total energy, the calculation gives -6.9233 eV/atom. Its calculated density is 6.61 g/cm3. Its space-group type is Pca2_1, No. 29.

Cell lengths 7.1041, 6.8893, 5.1303 Å; angles 90.00, 90.00, 90.00 degrees
Last column: nearest neighbours and their distance in Å.
Atoms (fractional coordinates):
As 0.1795 0.3667 0.0597  2 N 1.90-1.95
As 0.6795 0.6333 0.0597  2 N 1.90-1.95
As 0.3205 0.3667 0.5597  2 N 1.90-1.95
As 0.8205 0.6333 0.5597  2 N 1.90-1.95
N 0.8593 0.4812 0.2435  2 As 1.90-1.95
N 0.3593 0.5188 0.2435  2 As 1.90-1.95
N 0.6407 0.4812 0.7435  2 As 1.90-1.95
N 0.1407 0.5188 0.7435  2 As 1.90-1.95
O 0.6133 0.0881 0.4150  3 Pm 2.29-2.30
O 0.1133 0.9119 0.4150  3 Pm 2.29-2.30
O 0.8867 0.0881 0.9150  3 Pm 2.29-2.30
O 0.3867 0.9119 0.9150  3 Pm 2.29-2.30
Pm 0.9203 0.1746 0.4842  3 O 2.29-2.30, 1 N 2.49
Pm 0.4203 0.8254 0.4842  3 O 2.29-2.30, 1 N 2.49
Pm 0.5797 0.1746 0.9842  3 O 2.29-2.30, 1 N 2.49
Pm 0.0797 0.8254 0.9842  3 O 2.29-2.30, 1 N 2.49

---

DFT (PBE) results for a geometry-optimized Dy3Y4Co2Te2 structure.

Properties
For the total energy, the calculation gives -6.0745 eV/atom. Its calculated density is 7.06 g/cm3. Its space-group type is Imm2, No. 44.

Cell lengths 9.3614, 9.3614, 9.3614 Å; angles 156.31, 66.34, 119.05 degrees
Last column: nearest neighbours and their distance in Å.
Atoms (fractional coordinates):
Co 0.6450 0.4074 0.2377  2 Dy 2.76, 4 Y 2.80-2.83
Co 0.1697 0.4074 0.7623  2 Dy 2.76, 4 Y 2.80-2.83
Dy 0.4766 0.4766 0.0000  3 Te 3.16-3.19
Dy 0.4116 0.0971 0.3145  2 Co 2.76
Dy 0.7826 0.0971 0.6855  2 Co 2.76
Te 0.1412 0.1412 0.0000  6 Y 3.13-3.17, 1 Dy 3.19
Te 0.7407 0.2407 0.5000  4 Dy 3.16-3.21, 4 Y 3.18
Y 0.0265 0.8940 0.1325  2 Co 2.80, 1 Te 3.13
Y 0.0974 0.7454 0.3521  2 Co 2.83, 2 Te 3.17
Y 0.3933 0.7454 0.6479  2 Co 2.83, 2 Te 3.17
Y 0.7615 0.8940 0.8675  2 Co 2.80, 1 Te 3.13

---

DFT (PBE) results for a geometry-optimized TaSnMo2 structure.

Properties
For the total energy, the calculation gives -9.1243 eV/atom. Its calculated density is 11.62 g/cm3. Its space-group type is F-43m, No. 216.

Cell lengths 4.6319, 4.6319, 4.6319 Å; angles 60.00, 60.00, 60.00 degrees
Last column: nearest neighbours and their distance in Å.
Atoms (fractional coordinates):
Mo 0.0000 0.0000 0.0000  4 Ta 2.84, 4 Mo 2.84
Mo 0.7500 0.7500 0.7500  4 Mo 2.84, 4 Sn 2.84
Sn 0.5000 0.5000 0.5000  4 Ta 2.84, 4 Mo 2.84
Ta 0.2500 0.2500 0.2500  4 Sn 2.84, 4 Mo 2.84

---

DFT (PBE) results for a geometry-optimized NbBi2B structure.

Properties
For the total energy, the calculation gives -4.8723 eV/atom. Its calculated density is 9.94 g/cm3. Its space-group type is F-43m, No. 216.

Cell lengths 4.9771, 4.9771, 4.9771 Å; angles 60.00, 60.00, 60.00 degrees
Last column: nearest neighbours and their distance in Å.
Atoms (fractional coordinates):
B 0.0000 0.0000 0.0000  4 Nb 3.05, 4 Bi 3.05
Bi 0.5000 0.5000 0.5000  4 Bi 3.05, 4 Nb 3.05
Bi 0.7500 0.7500 0.7500  4 Bi 3.05, 4 B 3.05
Nb 0.2500 0.2500 0.2500  4 Bi 3.05, 4 B 3.05

---

DFT (PBE) results for a geometry-optimized ScCuGeOs structure.

Properties
For the total energy, the calculation gives -6.3547 eV/atom. Its calculated density is 9.91 g/cm3. Its space-group type is F-43m, No. 216.

Cell lengths 4.4483, 4.4483, 4.4483 Å; angles 60.00, 60.00, 60.00 degrees
Last column: nearest neighbours and their distance in Å.
Atoms (fractional coordinates):
Cu 0.7500 0.7500 0.7500  4 Ge 2.72, 4 Os 2.72
Ge 0.0000 0.0000 0.0000  4 Cu 2.72, 4 Sc 2.72
Os 0.5000 0.5000 0.5000  4 Sc 2.72, 4 Cu 2.72
Sc 0.2500 0.2500 0.2500  4 Os 2.72, 4 Ge 2.72